Computed, not measured: an optimized crystal structure of NaUCrO6 at the PBE+U level of DFT.

abc: 5.0467 5.0467 9.3150
angles: 90.00 90.00 90.00
Fractional coordinates of all 18 atoms:
Na: 0.5000 0.5000 0.1655
Na: 0.0000 0.0000 0.6655
U: 0.5000 0.5000 0.5021
U: 0.0000 0.0000 0.0021
Cr: 0.5000 0.5000 0.8462
Cr: 0.0000 0.0000 0.3462
O: 0.1893 0.8107 0.4619
O: 0.8107 0.1893 0.4619
O: 0.3107 0.3107 0.9619
O: 0.6893 0.6893 0.9619
O: 0.1719 0.8281 0.1735
O: 0.8281 0.1719 0.1735
O: 0.3281 0.3281 0.6735
O: 0.6719 0.6719 0.6735
O: 0.7875 0.2125 0.8578
O: 0.2125 0.7875 0.8578
O: 0.7125 0.7125 0.3578
O: 0.2875 0.2875 0.3578

Values from the calculation:
**Space group**: No. 102
**Calculated total energy**: -7.62 eV per atom